! PBE BeCd2Pb, relaxed; values from VASP
! * spin magnetization: 0.0 μB per formula unit
! * SG: R-3m (166)
! * ΔH_f (0 K): 0.323 eV per atom
! * energy relative to the lowest polymorph listed for this composition: 0.022 eV/atom
! * DOS(E_F): 0.34 states/eV/cell
&SYSTEM
  ibrav = 0, nat = 4, ntyp = 3
/
ATOMIC_SPECIES
Be 9.01 Be.upf
Cd 112.41 Cd.upf
Pb 207.20 Pb.upf
CELL_PARAMETERS angstrom
9.690 0.115 0.068
9.100 3.331 0.068
9.100 1.669 2.884
ATOMIC_POSITIONS angstrom
Be 20.916 3.837 2.265
Cd 13.409 2.460 1.452
Pb 6.972 1.279 0.755
Cd 0.535 0.098 0.058

! PBE ZrSc2Te, relaxed; values from VASP
! * spin magnetization: 0.0 μB per formula unit
! * SG: C2/m (12)
! * uncorrected formation energy: -387 meV/atom
! * DOS(E_F): 5.07 states/eV/cell
&SYSTEM
  ibrav = 0, nat = 4, ntyp = 3
/
ATOMIC_SPECIES
Zr 91.22 Zr.upf
Sc 44.96 Sc.upf
Te 127.60 Te.upf
CELL_PARAMETERS angstrom
5.474 0.000 -0.006
4.324 3.357 -0.006
1.378 0.472 5.013
ATOMIC_POSITIONS angstrom
Zr 8.383 2.872 3.750
Sc 5.690 1.949 2.430
Sc 9.697 3.322 0.058
Te 2.794 0.957 1.250

! PBE AlHI2Cl, relaxed; values from VASP
! * spin magnetization: 1.0 μB per formula unit
! * SG: P4/mmm (123)
! * E: -1.725 eV per atom
! * DOS(E_F): 1.20 states/eV/cell
&SYSTEM
  ibrav = 0, nat = 5, ntyp = 4
/
ATOMIC_SPECIES
Cl 35.45 Cl.upf
I 126.90 I.upf
Al 26.98 Al.upf
H 1.01 H.upf
CELL_PARAMETERS angstrom
5.882 0.000 0.000
0.000 5.577 0.000
0.000 0.000 5.882
ATOMIC_POSITIONS angstrom
Cl 0.000 0.000 0.000
I 0.000 0.000 2.941
Al 0.000 2.789 0.000
H 2.941 2.789 2.941
I 2.941 0.000 0.000

Which formula does entry 3 have?
AlHI2Cl